Arrangement 1

K2NaSr2: optimized geometry, PBE-GGA.

Geometry as POSCAR:
```
K2NaSr2
1.0
-2.730 2.730 10.849
2.730 -2.730 10.849
2.730 2.730 -10.849
K Na Sr
2 1 2
Cartesian
0.000 0.000 1.996
0.000 0.000 19.702
0.000 0.000 10.849
2.730 0.000 5.424
0.000 2.730 5.424
```

Summary:
Mass density: 1.42 Mg/m³
Total magnetic moment: 0.00 μB per formula unit
V: 64.7 Å³ per atom
Density of states at the Fermi level: 1.08 states/eV per atom

***

Arrangement 2

K2NaSr2: optimized geometry, PBE-GGA.

Geometry as POSCAR:
```
K2NaSr2
1.0
9.202 0.000 0.000
0.000 9.202 0.000
0.000 0.000 6.878
K Na Sr
4 2 4
Cartesian
1.297 3.304 0.000
3.304 7.905 0.000
5.898 1.297 0.000
7.905 5.898 0.000
0.000 0.000 0.000
4.601 4.601 0.000
1.602 6.203 3.439
2.999 1.602 3.439
6.203 7.600 3.439
7.600 2.999 3.439
```

Summary:
Mass density: 1.58 Mg/m³
Total magnetic moment: 0.00 μB per formula unit
V: 58.2 Å³ per atom
Density of states at the Fermi level: 1.01 states/eV per atom

***

Arrangement 3

K2NaSr2: optimized geometry, PBE-GGA.

Geometry as POSCAR:
```
K2NaSr2
1.0
-2.583 2.583 11.439
2.583 -2.583 11.439
2.583 2.583 -11.439
K Na Sr
2 1 2
Cartesian
2.583 0.000 5.719
0.000 2.583 5.719
0.000 0.000 0.000
0.000 0.000 9.404
0.000 0.000 13.473
```

Summary:
Mass density: 1.50 Mg/m³
Total magnetic moment: 0.00 μB per formula unit
V: 61.1 Å³ per atom
Density of states at the Fermi level: 1.04 states/eV per atom

***

Arrangement 4

K2NaSr2: optimized geometry, PBE-GGA.

Geometry as POSCAR:
```
K2NaSr2
1.0
9.596 0.000 0.000
0.000 9.596 0.000
0.000 0.000 6.915
K Na Sr
4 2 4
Cartesian
1.569 3.229 0.000
3.229 8.027 0.000
6.367 1.569 0.000
8.027 6.367 0.000
0.000 0.000 3.458
4.798 4.798 3.458
1.449 6.247 3.458
3.349 1.449 3.458
6.247 8.148 3.458
8.148 3.349 3.458
```

Summary:
Mass density: 1.44 Mg/m³
Total magnetic moment: 0.00 μB per formula unit
V: 63.7 Å³ per atom
Density of states at the Fermi level: 1.30 states/eV per atom

***

Most stable structure, least stable structure: arrangement 2, arrangement 3.